Li5Mg6In after structural relaxation, computed with GGA-PBE.

a b c (Å): 4.8562 6.8558 8.4354
angles (deg): 113.98 106.73 90.00
Element x y z (fractional)
Mg  0.8285  0.5711  0.6570
Mg  0.8285  0.0859  0.6570
Mg  0.5002  0.7363  0.0000
Mg  0.4998  0.2637  0.0000
Mg  0.1715  0.9141  0.3430
Mg  0.1715  0.4289  0.3430
In  0.0000  0.0000  0.0000
Li  0.6612  0.1612  0.3225
Li  0.3326  0.3326  0.6653
Li  0.0000  0.5000  0.0000
Li  0.6674  0.6674  0.3347
Li  0.3388  0.8388  0.6775

---

Li5Mg3In3 after structural relaxation, computed with GGA-PBE.

a b c (Å): 5.2295 8.9551 7.2825
angles (deg): 127.99 108.68 58.69
Element x y z (fractional)
Li  0.5040  0.3757  0.7609
Li  0.5040  0.6155  0.2398
Li  0.5867  0.2820  0.2937
Li  0.5937  0.9852  0.7050
Li  0.9646  0.8332  0.0008
Mg  0.4080  0.7201  0.7167
Mg  0.4171  0.9993  0.2804
Mg  0.0231  0.1821  0.0010
In  0.0022  0.4988  0.5125
In  0.9903  0.5151  0.9986
In  0.0063  0.9930  0.4906

---

Li9MgIn2 after structural relaxation, computed with GGA-PBE.

a b c (Å): 5.4686 5.4686 9.5909
angles (deg): 73.44 73.44 60.00
Element x y z (fractional)
Li  0.6641  0.6641  0.0078
Li  0.3359  0.3359  0.9922
Li  0.5000  0.5000  0.5000
Li  0.4082  0.4082  0.2621
Li  0.9216  0.4082  0.2621
Li  0.4082  0.9216  0.2621
Li  0.5918  0.5918  0.7379
Li  0.5918  0.0784  0.7379
Li  0.0784  0.5918  0.7379
Mg  0.0000  0.0000  0.0000
In  0.8583  0.8583  0.4251
In  0.1417  0.1417  0.5749

---

Li3Mg10In3 after structural relaxation, computed with GGA-PBE.

a b c (Å): 5.7945 8.4812 8.4812
angles (deg): 120.00 90.00 90.00
Element x y z (fractional)
Li  0.5000  0.0000  0.4166
Li  0.5000  0.4166  0.0000
Li  0.5000  0.5834  0.5834
Mg  0.2515  0.6667  0.3333
Mg  0.2515  0.3333  0.6667
Mg  0.7485  0.3333  0.6667
Mg  0.7485  0.6667  0.3333
Mg  0.5000  0.0000  0.7739
Mg  0.5000  0.7739  0.0000
Mg  0.5000  0.2261  0.2261
Mg  0.0000  0.0000  0.2424
Mg  0.0000  0.2424  0.0000
Mg  0.0000  0.7576  0.7576
In  0.0000  0.0000  0.6030
In  0.0000  0.6030  0.0000
In  0.0000  0.3970  0.3970

---

LiMg3In6 after structural relaxation, computed with GGA-PBE.

Calculated values
The calculation puts the polymorph energy (0 for the lowest one) at 0 meV/atom.

a b c (Å): 8.2459 8.2459 8.2459
angles (deg): 105.42 105.42 105.42
Element x y z (fractional)
Li  0.0000  0.0000  0.0000
Li  0.5000  0.5000  0.5000
Mg  0.5906  0.8782  0.7724
Mg  0.8782  0.7724  0.5906
Mg  0.2276  0.4094  0.1218
Mg  0.7724  0.5906  0.8782
Mg  0.1218  0.2276  0.4094
Mg  0.4094  0.1218  0.2276
In  0.1730  0.7169  0.9500
In  0.2831  0.0500  0.8270
In  0.4828  0.8133  0.3693
In  0.0500  0.8270  0.2831
In  0.3693  0.4828  0.8133
In  0.1867  0.6307  0.5172
In  0.8133  0.3693  0.4828
In  0.6307  0.5172  0.1867
In  0.9500  0.1730  0.7169
In  0.5172  0.1867  0.6307
In  0.7169  0.9500  0.1730
In  0.8270  0.2831  0.0500

---

Li5MgIn4 after structural relaxation, computed with GGA-PBE.

a b c (Å): 3.4002 3.4002 16.9939
angles (deg): 90.00 90.00 90.00
Element x y z (fractional)
Li  0.5000  0.5000  0.1057
Li  0.5000  0.5000  0.3039
Li  0.5000  0.5000  0.5000
Li  0.5000  0.5000  0.6961
Li  0.5000  0.5000  0.8943
Mg  0.0000  0.0000  0.0000
In  0.0000  0.0000  0.2016
In  0.0000  0.0000  0.4019
In  0.0000  0.0000  0.5981
In  0.0000  0.0000  0.7984

---

Li2Mg15In2 after structural relaxation, computed with GGA-PBE.

a b c (Å): 7.8656 7.8656 7.8656
angles (deg): 80.28 80.28 80.28
Element x y z (fractional)
Li  0.9111  0.9111  0.9111
Li  0.0889  0.0889  0.0889
Mg  0.0000  0.5000  0.0000
Mg  0.0000  0.0000  0.5000
Mg  0.5000  0.0000  0.0000
Mg  0.3279  0.0000  0.6721
Mg  0.6721  0.3279  0.0000
Mg  0.0000  0.6721  0.3279
Mg  0.3279  0.6721  0.0000
Mg  0.0000  0.3279  0.6721
Mg  0.6721  0.0000  0.3279
Mg  0.3342  0.8383  0.3342
Mg  0.3342  0.3342  0.8383
Mg  0.8383  0.3342  0.3342
Mg  0.6658  0.1617  0.6658
Mg  0.6658  0.6658  0.1617
Mg  0.1617  0.6658  0.6658
In  0.7131  0.7131  0.7131
In  0.2869  0.2869  0.2869

---

LiMgIn2 after structural relaxation, computed with GGA-PBE.

a b c (Å): 5.0790 5.0790 6.0819
angles (deg): 79.83 79.83 36.46
Element x y z (fractional)
Mg  0.2500  0.2500  0.2500
Li  0.7500  0.7500  0.7500
In  0.0033  0.0033  0.9883
In  0.4967  0.4967  0.5117

---

Values of total magnetic moment, in order: 0.0; 0.0; 0.0; 0.0; 0.0; 0.0; 0.0; 0.0, all in Bohr magnetons per cell.
Values of E_form, in order: -98; -154; -27; -48; -57; -237; 77; -140, all in meV/atom.